Version 1
A plane-wave DFT calculation with PBE-GGA was carried out for a relaxed structure of Tb8SmTh2.

Cell: 10.1503 10.1503 5.5912 Å, 92.16 92.16 40.67°
With the nearest neighbours (Å) after each atom.
Sites, in units of the cell vectors:
1 Tb 0.0472 0.0472 0.2376  2 Tb 3.15-3.50, 1 Th 3.25
2 Tb 0.0982 0.6380 0.2626  4 Tb 3.25-3.57, 2 Th 3.44-3.56, 1 Sm 3.52
3 Tb 0.3170 0.3170 0.7679  4 Th 3.33-3.59, 4 Tb 3.46-3.57, 1 Sm 3.67
4 Tb 0.3620 0.9018 0.7374  4 Tb 3.25-3.57, 2 Th 3.44-3.56, 1 Sm 3.52
5 Tb 0.6380 0.0982 0.2626  4 Tb 3.25-3.57, 2 Th 3.44-3.56, 1 Sm 3.52
6 Tb 0.6830 0.6830 0.2321  4 Th 3.33-3.59, 4 Tb 3.46-3.57, 1 Sm 3.67
7 Tb 0.9018 0.3620 0.7374  4 Tb 3.25-3.57, 2 Th 3.44-3.56, 1 Sm 3.52
8 Tb 0.9528 0.9528 0.7624  2 Tb 3.15-3.50, 1 Th 3.25
9 Sm 0.5000 0.5000 0.0000  10 Tb 3.52-3.86
10 Th 0.2179 0.2179 0.2628  9 Tb 3.25-3.59
11 Th 0.7821 0.7821 0.7372  9 Tb 3.25-3.59

Computed properties:
The mass density is 8.348 g cm⁻³. The value obtained for the density of states at the Fermi level is 1.55 states/eV per atom.

---

Version 2
A plane-wave DFT calculation with PBE-GGA was carried out for a relaxed structure of Tb8SmTh2.

Cell: 5.9658 7.5664 9.2593 Å, 111.48 105.67 97.34°
With the nearest neighbours (Å) after each atom.
Sites, in units of the cell vectors:
1 Tb 0.0789 0.3996 0.2358  4 Tb 3.25-3.56, 2 Th 3.47
2 Tb 0.1579 0.8367 0.2362  4 Tb 3.24-3.56, 2 Th 3.47
3 Tb 0.2810 0.0743 0.9995  3 Tb 2.97-3.25, 1 Sm 3.32
4 Tb 0.2916 0.2918 0.5839  1 Sm 3.37, 2 Th 3.39, 6 Tb 3.56-3.72
5 Tb 0.7084 0.7082 0.4161  1 Sm 3.37, 2 Th 3.39, 6 Tb 3.56-3.72
6 Tb 0.7190 0.9257 0.0005  3 Tb 2.97-3.25, 1 Sm 3.32
7 Tb 0.8421 0.1633 0.7638  4 Tb 3.24-3.56, 2 Th 3.47
8 Tb 0.9211 0.6004 0.7642  4 Tb 3.25-3.56, 2 Th 3.47
9 Sm 0.5000 0.5000 0.0000  4 Tb 3.32-3.37
10 Th 0.3074 0.8067 0.6142  9 Tb 3.39-3.79
11 Th 0.6926 0.1933 0.3858  9 Tb 3.39-3.79

Computed properties:
The mass density is 8.644 g cm⁻³. The value obtained for the density of states at the Fermi level is 1.30 states/eV per atom.

---

Energies in meV/atom, measured from the most stable structure: version 1 0; version 2 7.

---

Version 1
A plane-wave DFT calculation with PBE-GGA was carried out for a relaxed structure of TbSm8Th2.

Cell: 9.3612 9.3612 6.0205 Å, 105.46 105.46 122.05°
With the nearest neighbours (Å) after each atom.
Sites, in units of the cell vectors:
1 Tb 0.0000 0.0000 0.0000  4 Sm 3.31-3.40
2 Sm 0.1003 0.3342 0.6774  4 Sm 3.28-3.63, 2 Th 3.50-3.52
3 Sm 0.2074 0.7926 0.0000  1 Tb 3.40, 2 Th 3.43, 6 Sm 3.63-3.75
4 Sm 0.3342 0.1003 0.6774  4 Sm 3.28-3.63, 2 Th 3.50-3.52
5 Sm 0.4215 0.4215 0.2069  3 Sm 2.99-3.28, 1 Tb 3.31
6 Sm 0.5785 0.5785 0.7931  3 Sm 2.99-3.28, 1 Tb 3.31
7 Sm 0.6658 0.8997 0.3226  4 Sm 3.28-3.63, 2 Th 3.50-3.52
8 Sm 0.7926 0.2074 0.0000  1 Tb 3.40, 2 Th 3.43, 6 Sm 3.63-3.75
9 Sm 0.8997 0.6658 0.3226  4 Sm 3.28-3.63, 2 Th 3.50-3.52
10 Th 0.3072 0.6928 0.5000  10 Sm 3.43-3.83
11 Th 0.6928 0.3072 0.5000  10 Sm 3.43-3.83

Computed properties:
The mass density is 8.120 g cm⁻³. The value obtained for the density of states at the Fermi level is 1.29 states/eV per atom.

---

Version 2
A plane-wave DFT calculation with PBE-GGA was carried out for a relaxed structure of TbSm8Th2.

Cell: 10.2423 10.2423 5.7028 Å, 92.76 92.76 40.35°
With the nearest neighbours (Å) after each atom.
Sites, in units of the cell vectors:
1 Tb 0.0000 0.0000 0.0000  10 Sm 3.54-3.87
2 Sm 0.1377 0.6013 0.2646  3 Sm 3.28-3.60, 2 Th 3.46-3.59, 1 Tb 3.54
3 Sm 0.1836 0.1836 0.2227  4 Th 3.34-3.61, 4 Sm 3.47-3.67, 1 Tb 3.69
4 Sm 0.3987 0.8623 0.7354  3 Sm 3.28-3.60, 2 Th 3.46-3.59, 1 Tb 3.54
5 Sm 0.4523 0.4523 0.7660  1 Sm 3.16, 1 Th 3.29
6 Sm 0.5477 0.5477 0.2340  1 Sm 3.16, 1 Th 3.29
7 Sm 0.6013 0.1377 0.2646  3 Sm 3.28-3.60, 2 Th 3.46-3.59, 1 Tb 3.54
8 Sm 0.8164 0.8164 0.7773  4 Th 3.34-3.61, 4 Sm 3.47-3.67, 1 Tb 3.69
9 Sm 0.8623 0.3987 0.7354  3 Sm 3.28-3.60, 2 Th 3.46-3.59, 1 Tb 3.54
10 Th 0.2808 0.2808 0.7241  9 Sm 3.29-3.61
11 Th 0.7192 0.7192 0.2759  9 Sm 3.29-3.61

Computed properties:
The mass density is 7.838 g cm⁻³. The value obtained for the density of states at the Fermi level is 1.64 states/eV per atom.

---

Energies in meV/atom, measured from the most stable structure: version 1 0; version 2 6.